[1]
The following is a PBE calculation of an optimized crystal structure of SnPPd6Pb2, from Alexandria.

Properties
The total energy comes out at -5.0854 eV/atom. The space-group type is Pmmn, No. 59. The density of states at the Fermi level is 7.06 states/eV/cell.

Cell: 6.3157 7.5172 8.7899 Å, 90.00 90.00 90.00°
Positions (direct):
Pd (0.0000, 0.8958, 0.2423)
Pd (0.7191, 0.5871, 0.0000)
Pd (0.2191, 0.4129, 0.5000)
Pd (0.7809, 0.4129, 0.5000)
Pd (0.7810, 0.0252, 0.5000)
Pb (0.5000, 0.7246, 0.2779)
P (0.5000, 0.2237, 0.5000)
Pb (0.5000, 0.7246, 0.7221)
Sn (0.5000, 0.2880, 0.0000)
Pd (0.2810, 0.9748, 0.0000)
Pb (0.0000, 0.2754, 0.7779)
Pd (0.7190, 0.9748, 0.0000)
P (0.0000, 0.7763, 0.0000)
Pd (0.5000, 0.1042, 0.2577)
Pd (0.0000, 0.8958, 0.7577)
Pd (0.2809, 0.5871, 0.0000)
Pd (0.2190, 0.0252, 0.5000)
Pd (0.5000, 0.1042, 0.7423)
Pb (0.0000, 0.2754, 0.2221)
Sn (0.0000, 0.7120, 0.5000)

=====

[2]
The following is a PBE calculation of an optimized crystal structure of SrP2Pd4Pb, from Alexandria.

Properties
The total energy comes out at -5.1822 eV/atom. The space-group type is P4/mmm, No. 123. The density of states at the Fermi level is 3.88 states/eV/cell.

Cell: 4.0696 4.0696 9.9124 Å, 90.00 90.00 90.00°
Positions (direct):
Sr (0.0000, 0.0000, 0.5000)
Pb (0.0000, 0.0000, 0.0000)
Pd (0.5000, 0.0000, 0.2104)
Pd (0.0000, 0.5000, 0.2104)
P (0.5000, 0.5000, 0.3321)
Pd (0.5000, 0.0000, 0.7896)
P (0.5000, 0.5000, 0.6679)
Pd (0.0000, 0.5000, 0.7896)

=====

[3]
The following is a PBE calculation of an optimized crystal structure of Sr3P2Pd4Pb2, from Alexandria.

Properties
The total energy comes out at -4.6601 eV/atom. The space-group type is P-3m1, No. 164. The density of states at the Fermi level is 3.76 states/eV/cell.

Cell: 4.2212 4.2212 17.9109 Å, 90.00 90.00 120.00°
Positions (direct):
Sr (0.0000, 0.0000, 0.0000)
Sr (0.0000, 0.0000, 0.7574)
P (0.3333, 0.6667, 0.1240)
Pd (0.3333, 0.6667, 0.8765)
Pd (0.6667, 0.3333, 0.6373)
Sr (0.0000, 0.0000, 0.2426)
P (0.6667, 0.3333, 0.8760)
Pb (0.6667, 0.3333, 0.4319)
Pd (0.3333, 0.6667, 0.3627)
Pb (0.3333, 0.6667, 0.5681)
Pd (0.6667, 0.3333, 0.1235)

=====

[4]
The following is a PBE calculation of an optimized crystal structure of TlPPd3Pb, from Alexandria.

Properties
The total energy comes out at -4.7336 eV/atom. The space-group type is C2/c, No. 15. The density of states at the Fermi level is 6.24 states/eV/cell.

Cell: 5.7198 5.5504 8.9110 Å, 71.85 84.31 71.44°
Positions (direct):
Pd (0.2500, 0.7909, 0.4182)
Pd (0.9660, 0.2778, 0.9567)
Tl (0.7500, 0.7377, 0.5247)
Pb (0.7500, 0.3799, 0.2403)
P (0.7500, 0.0739, 0.8522)
Pd (0.5340, 0.7655, 0.9567)
Pd (0.4660, 0.2345, 0.0433)
Pd (0.7500, 0.2091, 0.5818)
Pd (0.0340, 0.7222, 0.0433)
Tl (0.2500, 0.2623, 0.4753)
P (0.2500, 0.9261, 0.1478)
Pb (0.2500, 0.6201, 0.7597)

=====

[5]
The following is a PBE calculation of an optimized crystal structure of ZrPPd2Pb, from Alexandria.

Properties
The total energy comes out at -5.3331 eV/atom. The space-group type is P4/mmm, No. 123. The density of states at the Fermi level is 2.41 states/eV/cell.

Cell: 5.0236 4.9823 5.0236 Å, 90.00 90.00 90.00°
Positions (direct):
P (0.0000, 0.5000, 0.0000)
Pb (0.5000, 0.5000, 0.5000)
Zr (0.0000, 0.0000, 0.0000)
Pd (0.0000, 0.0000, 0.5000)
Pd (0.5000, 0.0000, 0.0000)

=====

[6]
The following is a PBE calculation of an optimized crystal structure of Pm3PPb, from Alexandria.

Properties
The excess energy over the best structure of this formula in the dataset is 0 meV/atom. The total energy comes out at -5.5857 eV/atom. The space-group type is Pnma, No. 62. The density of states at the Fermi level is 13.74 states/eV/cell.

Cell: 4.3070 8.8275 15.4010 Å, 90.00 90.00 90.00°
Positions (direct):
Pm (0.7500, 0.8133, 0.2137)
P (0.7500, 0.1716, 0.4446)
Pm (0.7500, 0.3133, 0.2863)
Pm (0.2500, 0.3413, 0.5158)
Pm (0.7500, 0.1587, 0.0158)
Pm (0.7500, 0.0222, 0.6070)
Pb (0.7500, 0.4073, 0.6780)
Pb (0.2500, 0.0927, 0.1780)
Pm (0.2500, 0.9778, 0.3930)
P (0.7500, 0.6716, 0.0554)
Pm (0.2500, 0.6867, 0.7137)
Pb (0.2500, 0.5927, 0.3220)
Pm (0.2500, 0.8413, 0.9842)
Pm (0.7500, 0.5222, 0.8930)
Pb (0.7500, 0.9073, 0.8220)
Pm (0.7500, 0.6587, 0.4842)
P (0.2500, 0.8284, 0.5554)
Pm (0.2500, 0.1867, 0.7863)
P (0.2500, 0.3284, 0.9446)
Pm (0.2500, 0.4778, 0.1070)

=====

What is the formula in the sixth record?
Pm3PPb